The following is a DFT calculation (GGA-PBE) of a relaxed Tm3Cd12Ag crystal.

Unit cell a=4.511 b=4.511 c=17.932 alpha=90.00 beta=90.00 gamma=90.00
Sites, in units of the cell vectors:
Tm 0.000 0.000 0.000
Tm 0.000 0.000 0.261
Tm 0.000 0.000 0.739
Cd 0.000 0.500 0.130
Cd 0.000 0.500 0.386
Cd 0.000 0.500 0.614
Cd 0.000 0.500 0.870
Cd 0.500 0.000 0.130
Cd 0.500 0.000 0.386
Cd 0.500 0.000 0.614
Cd 0.500 0.000 0.870
Cd 0.500 0.500 0.000
Cd 0.500 0.500 0.263
Cd 0.500 0.500 0.500
Cd 0.500 0.500 0.737
Ag 0.000 0.000 0.500

Summary:
The calculation puts the calculated formation energy at -0.183 eV/atom. For the raw total energy, the calculation gives -1.89 eV/atom.